(1)
DFT (PBE) results for a geometry-optimized Sm6ThIn5 structure.

Properties
* VASP energy: -4.487 eV/atom
* density of states at the Fermi level: 12.698 states/eV/f.u.
* V: 694.4 Å³ per cell

Unit cell a=5.078 b=8.922 c=15.328 alpha=90.00 beta=90.00 gamma=90.00
Space group Immm (No. 71)
Unique sites:
Sm1 0.000 0.230 0.000 (multiplicity 4)
Sm2 0.000 0.261 0.330 (multiplicity 8)
Th1 0.000 0.000 0.500 (multiplicity 2)
In1 0.000 0.000 0.176 (multiplicity 4)
In2 0.000 0.500 0.154 (multiplicity 4)
In3 0.000 0.500 0.500 (multiplicity 2)

(2)
DFT (PBE) results for a geometry-optimized SmThIn structure.

Properties
* energy above the most stable polymorph in this dataset: 45.7 meV per atom
* VASP energy: -5.132 eV/atom
* density of states at the Fermi level: 2.746 states/eV/f.u.
* V: 177.3 Å³ per cell

Unit cell a=4.122 b=4.122 c=10.439 alpha=90.00 beta=90.00 gamma=90.00
Space group I4mm (No. 107)
Unique sites:
Sm1 0.000 0.000 0.000 (multiplicity 2)
Th1 0.000 0.000 0.682 (multiplicity 2)
In1 0.000 0.000 0.346 (multiplicity 2)

(3)
DFT (PBE) results for a geometry-optimized SmThIn structure.

Properties
* energy above the most stable polymorph in this dataset: 157.0 meV per atom
* VASP energy: -5.021 eV/atom
* density of states at the Fermi level: 4.554 states/eV/f.u.
* V: 91.1 Å³ per cell

Unit cell a=5.3816 b=5.3816 c=3.6304 alpha=90.00 beta=90.00 gamma=120.00
Space group P3m1 (No. 156)
Unique sites:
Sm1 0.0000 0.0000 0.0000 (multiplicity 1)
Th1 0.3333 0.6667 0.5617 (multiplicity 1)
In1 0.6667 0.3333 0.2389 (multiplicity 1)

(4)
DFT (PBE) results for a geometry-optimized SmTmThIn structure.

Properties
* VASP energy: -4.861 eV/atom
* density of states at the Fermi level: 7.153 states/eV/f.u.
* V: 463.5 Å³ per cell

Unit cell a=7.739 b=7.739 c=7.739 alpha=90.00 beta=90.00 gamma=90.00
Space group F-43m (No. 216)
Unique sites:
Sm1 0.000 0.000 0.000 (multiplicity 4)
Tm1 0.000 0.000 0.500 (multiplicity 4)
Th1 0.250 0.250 0.750 (multiplicity 4)
In1 0.250 0.250 0.250 (multiplicity 4)

Number 3 is which compound?
SmThIn

Which formula does entry 3 have?
SmThIn

Which formula does entry 3 have?
SmThIn

The highest density of states at the Fermi level belongs to which entry?
Sm6ThIn5